No. 1
First-principles (SCAN) data for a crystal of FeSbW2 relaxed with PBEsol, as listed in the Alexandria database.

```
data_FeSbW2
_chemical_formula_sum 'Fe1 Sb1 W2'
_symmetry_space_group_name_H-M 'P 4 m m'
_symmetry_Int_Tables_number 99
_symmetry_space_group_name_Hall 'P 4 -2'
_cell_length_a 3.1932
_cell_length_b 3.1932
_cell_length_c 6.0926
_cell_angle_alpha 90.00
_cell_angle_beta 90.00
_cell_angle_gamma 90.00
loop_
_atom_site_label
_atom_site_type_symbol
_atom_site_fract_x
_atom_site_fract_y
_atom_site_fract_z
Fe1 Fe 0.0000 0.0000 0.0000
Sb1 Sb 0.5000 0.5000 0.2599
W1 W 0.0000 0.0000 0.5368
W2 W 0.5000 0.5000 0.7926
```

Calculated values
Volume = 62.1 Å³/cell
Formation energy (no corrections) = 1.8 eV per formula unit
Energy = -48.239 eV/atom
Magnetic moment = 1.62 μB/f.u.
Energy above the lowest structure with this stoichiometry = 0.000 eV/atom

No. 2
First-principles (SCAN) data for a crystal of FeSb2W relaxed with PBEsol, as listed in the Alexandria database.

```
data_FeSb2W
_chemical_formula_sum 'Fe4 Sb8 W4'
_symmetry_space_group_name_H-M 'F m -3 m'
_symmetry_Int_Tables_number 225
_symmetry_space_group_name_Hall '-F 4 2 3'
_cell_length_a 6.4374
_cell_length_b 6.4374
_cell_length_c 6.4374
_cell_angle_alpha 90.00
_cell_angle_beta 90.00
_cell_angle_gamma 90.00
loop_
_atom_site_label
_atom_site_type_symbol
_atom_site_fract_x
_atom_site_fract_y
_atom_site_fract_z
Fe1 Fe 0.0000 0.0000 0.0000
Sb1 Sb 0.2500 0.2500 0.2500
W1 W 0.0000 0.0000 0.5000
```

Calculated values
Volume = 266.8 Å³/cell
Formation energy (no corrections) = 2.9 eV per formula unit
Energy = -39.850 eV/atom
Magnetic moment = 0.00 μB/f.u.
Energy above the lowest structure with this stoichiometry = 0.446 eV/atom

No. 3
First-principles (SCAN) data for a crystal of FeSbW2 relaxed with PBEsol, as listed in the Alexandria database.

```
data_FeSbW2
_chemical_formula_sum 'Fe3 Sb3 W6'
_symmetry_space_group_name_H-M 'R -3 m'
_symmetry_Int_Tables_number 166
_symmetry_space_group_name_Hall '-R 3 2"'
_cell_length_a 2.8950
_cell_length_b 2.8950
_cell_length_c 26.2523
_cell_angle_alpha 90.00
_cell_angle_beta 90.00
_cell_angle_gamma 120.00
loop_
_atom_site_label
_atom_site_type_symbol
_atom_site_fract_x
_atom_site_fract_y
_atom_site_fract_z
Fe1 Fe 0.0000 0.0000 0.0000
Sb1 Sb 0.0000 0.0000 0.5000
W1 W 0.0000 0.0000 0.2582
```

Calculated values
Volume = 190.5 Å³/cell
Formation energy (no corrections) = 3.0 eV per formula unit
Energy = -47.951 eV/atom
Magnetic moment = 1.90 μB/f.u.
Energy above the lowest structure with this stoichiometry = 0.289 eV/atom

No. 4
First-principles (SCAN) data for a crystal of FeSbW2 relaxed with PBEsol, as listed in the Alexandria database.

```
data_FeSbW2
_chemical_formula_sum 'Fe1 Sb1 W2'
_symmetry_space_group_name_H-M 'P 1 m 1'
_symmetry_Int_Tables_number 6
_symmetry_space_group_name_Hall 'P -2y'
_cell_length_a 2.8597
_cell_length_b 4.1726
_cell_length_c 5.2964
_cell_angle_alpha 90.00
_cell_angle_beta 101.13
_cell_angle_gamma 90.00
loop_
_atom_site_label
_atom_site_type_symbol
_atom_site_fract_x
_atom_site_fract_y
_atom_site_fract_z
Fe1 Fe 0.0000 0.0000 0.0000
Sb1 Sb 0.0346 0.5000 0.2711
W1 W 0.3652 0.5000 0.7997
W2 W 0.6250 0.0000 0.5383
```

Calculated values
Volume = 62.0 Å³/cell
Formation energy (no corrections) = 2.6 eV per formula unit
Energy = -48.030 eV/atom
Magnetic moment = 0.00 μB/f.u.
Energy above the lowest structure with this stoichiometry = 0.209 eV/atom

No. 5
First-principles (SCAN) data for a crystal of Fe2SbW relaxed with PBEsol, as listed in the Alexandria database.

```
data_Fe2SbW
_chemical_formula_sum 'Fe6 Sb3 W3'
_symmetry_space_group_name_H-M 'R -3 m'
_symmetry_Int_Tables_number 166
_symmetry_space_group_name_Hall '-R 3 2"'
_cell_length_a 2.9858
_cell_length_b 2.9858
_cell_length_c 23.0131
_cell_angle_alpha 90.00
_cell_angle_beta 90.00
_cell_angle_gamma 120.00
loop_
_atom_site_label
_atom_site_type_symbol
_atom_site_fract_x
_atom_site_fract_y
_atom_site_fract_z
Fe1 Fe 0.0000 0.0000 0.2432
Sb1 Sb 0.0000 0.0000 0.0000
W1 W 0.0000 0.0000 0.5000
```

Calculated values
Volume = 177.7 Å³/cell
Formation energy (no corrections) = 2.4 eV per formula unit
Energy = -35.204 eV/atom
Magnetic moment = 3.28 μB/f.u.
Energy above the lowest structure with this stoichiometry = 0.232 eV/atom

No. 6
First-principles (SCAN) data for a crystal of ZnFeSb2 relaxed with PBEsol, as listed in the Alexandria database.

```
data_ZnFeSb2
_chemical_formula_sum 'Zn2 Fe2 Sb4'
_symmetry_space_group_name_H-M 'C m m m'
_symmetry_Int_Tables_number 65
_symmetry_space_group_name_Hall '-C 2 2'
_cell_length_a 6.0734
_cell_length_b 7.3706
_cell_length_c 3.3589
_cell_angle_alpha 90.00
_cell_angle_beta 90.00
_cell_angle_gamma 90.00
loop_
_atom_site_label
_atom_site_type_symbol
_atom_site_fract_x
_atom_site_fract_y
_atom_site_fract_z
Zn1 Zn 0.0000 0.0000 0.0000
Fe1 Fe 0.0000 0.5000 0.0000
Sb1 Sb 0.2500 0.2500 0.5000
```

Calculated values
Volume = 150.4 Å³/cell
Formation energy (no corrections) = 1.8 eV per formula unit
Energy = -26.090 eV/atom
Magnetic moment = 2.78 μB/f.u.

No. 7
First-principles (SCAN) data for a crystal of Zn3FeSb relaxed with PBEsol, as listed in the Alexandria database.

```
data_Zn3FeSb
_chemical_formula_sum 'Zn3 Fe1 Sb1'
_symmetry_space_group_name_H-M 'P m -3 m'
_symmetry_Int_Tables_number 221
_symmetry_space_group_name_Hall '-P 4 2 3'
_cell_length_a 4.5606
_cell_length_b 4.5606
_cell_length_c 4.5606
_cell_angle_alpha 90.00
_cell_angle_beta 90.00
_cell_angle_gamma 90.00
loop_
_atom_site_label
_atom_site_type_symbol
_atom_site_fract_x
_atom_site_fract_y
_atom_site_fract_z
Zn1 Zn 0.0000 0.0000 0.5000
Fe1 Fe 0.0000 0.0000 0.0000
Sb1 Sb 0.5000 0.5000 0.5000
```

Calculated values
Volume = 94.9 Å³/cell
Formation energy (no corrections) = 2.8 eV per formula unit
Energy = -18.634 eV/atom
Magnetic moment = 2.29 μB/f.u.

No. 8
First-principles (SCAN) data for a crystal of ZnFeSb2 relaxed with PBEsol, as listed in the Alexandria database.

```
data_ZnFeSb2
_chemical_formula_sum 'Zn1 Fe1 Sb2'
_symmetry_space_group_name_H-M 'P 4/m m m'
_symmetry_Int_Tables_number 123
_symmetry_space_group_name_Hall '-P 4 2'
_cell_length_a 3.1128
_cell_length_b 3.1128
_cell_length_c 7.7469
_cell_angle_alpha 90.00
_cell_angle_beta 90.00
_cell_angle_gamma 90.00
loop_
_atom_site_label
_atom_site_type_symbol
_atom_site_fract_x
_atom_site_fract_y
_atom_site_fract_z
Zn1 Zn 0.0000 0.0000 0.0000
Fe1 Fe 0.0000 0.0000 0.5000
Sb1 Sb 0.5000 0.5000 0.2960
```

Calculated values
Volume = 75.1 Å³/cell
Formation energy (no corrections) = 1.3 eV per formula unit
Energy = -26.209 eV/atom
Magnetic moment = 1.56 μB/f.u.

No. 9
First-principles (SCAN) data for a crystal of ZnFeSb3 relaxed with PBEsol, as listed in the Alexandria database.

```
data_ZnFeSb3
_chemical_formula_sum 'Zn1 Fe1 Sb3'
_symmetry_space_group_name_H-M 'P m -3 m'
_symmetry_Int_Tables_number 221
_symmetry_space_group_name_Hall '-P 4 2 3'
_cell_length_a 5.0799
_cell_length_b 5.0799
_cell_length_c 5.0799
_cell_angle_alpha 90.00
_cell_angle_beta 90.00
_cell_angle_gamma 90.00
loop_
_atom_site_label
_atom_site_type_symbol
_atom_site_fract_x
_atom_site_fract_y
_atom_site_fract_z
Zn1 Zn 0.0000 0.0000 0.0000
Fe1 Fe 0.5000 0.5000 0.5000
Sb1 Sb 0.0000 0.0000 0.5000
```

Calculated values
Volume = 131.1 Å³/cell
Formation energy (no corrections) = 5.2 eV per formula unit
Energy = -27.643 eV/atom
Magnetic moment = 3.39 μB/f.u.

No. 10
First-principles (SCAN) data for a crystal of ZnFe6Sb relaxed with PBEsol, as listed in the Alexandria database.

```
data_ZnFe6Sb
_chemical_formula_sum 'Zn8 Fe48 Sb8'
_symmetry_space_group_name_H-M 'C m m m'
_symmetry_Int_Tables_number 65
_symmetry_space_group_name_Hall '-C 2 2'
_cell_length_a 7.3111
_cell_length_b 10.3630
_cell_length_c 10.3710
_cell_angle_alpha 90.00
_cell_angle_beta 90.00
_cell_angle_gamma 90.00
loop_
_atom_site_label
_atom_site_type_symbol
_atom_site_fract_x
_atom_site_fract_y
_atom_site_fract_z
Zn1 Zn 0.0000 0.0000 0.2454
Zn2 Zn 0.0000 0.2523 0.0000
Fe1 Fe 0.0000 0.0000 0.0000
Fe2 Fe 0.0000 0.0000 0.5000
Fe3 Fe 0.0000 0.2451 0.2437
Fe4 Fe 0.0000 0.5000 0.0000
Fe5 Fe 0.0000 0.5000 0.5000
Fe6 Fe 0.2429 0.1222 0.3707
Fe7 Fe 0.2443 0.1274 0.1209
Sb1 Sb 0.0000 0.2534 0.5000
Sb2 Sb 0.0000 0.5000 0.2456
```

Calculated values
Volume = 785.8 Å³/cell
Formation energy (no corrections) = 0.0 eV per formula unit
Energy = -19.949 eV/atom
Magnetic moment = 14.96 μB/f.u.

No. 11
First-principles (SCAN) data for a crystal of ZrFe2Sb relaxed with PBEsol, as listed in the Alexandria database.

```
data_ZrFe2Sb
_chemical_formula_sum 'Zr1 Fe2 Sb1'
_symmetry_space_group_name_H-M 'P m m m'
_symmetry_Int_Tables_number 47
_symmetry_space_group_name_Hall '-P 2 2'
_cell_length_a 3.1851
_cell_length_b 4.0287
_cell_length_c 5.3418
_cell_angle_alpha 90.00
_cell_angle_beta 90.00
_cell_angle_gamma 90.00
loop_
_atom_site_label
_atom_site_type_symbol
_atom_site_fract_x
_atom_site_fract_y
_atom_site_fract_z
Zr1 Zr 0.0000 0.0000 0.0000
Fe1 Fe 0.5000 0.5000 0.2079
Sb1 Sb 0.5000 0.0000 0.5000
```

Calculated values
Volume = 68.5 Å³/cell
Formation energy (no corrections) = 0.0 eV per formula unit
Energy = -26.061 eV/atom
Magnetic moment = 4.11 μB/f.u.

No. 12
First-principles (SCAN) data for a crystal of ZrFeSb2 relaxed with PBEsol, as listed in the Alexandria database.

```
data_ZrFeSb2
_chemical_formula_sum 'Zr2 Fe2 Sb4'
_symmetry_space_group_name_H-M 'C m m m'
_symmetry_Int_Tables_number 65
_symmetry_space_group_name_Hall '-C 2 2'
_cell_length_a 4.1487
_cell_length_b 5.1242
_cell_length_c 7.1302
_cell_angle_alpha 90.00
_cell_angle_beta 90.00
_cell_angle_gamma 90.00
loop_
_atom_site_label
_atom_site_type_symbol
_atom_site_fract_x
_atom_site_fract_y
_atom_site_fract_z
Zr1 Zr 0.0000 0.0000 0.0000
Fe1 Fe 0.0000 0.0000 0.5000
Sb1 Sb 0.0000 0.5000 0.2838
```

Calculated values
Volume = 151.6 Å³/cell
Formation energy (no corrections) = -0.1 eV per formula unit
Energy = -30.864 eV/atom
Magnetic moment = 1.35 μB/f.u.
Energy above the lowest structure with this stoichiometry = 0.000 eV/atom